(1)
# Zr2UPb, relaxed, DFT GGA-PBE
# Polymorph energy (0 for the lowest one)   51 kJ/mol of formula units
# Crystal system   trigonal
# ΔH_f (0 K)   0.19 eV/atom
data_Zr2UPb
_cell_length_a 3.2887
_cell_length_b 3.2887
_cell_length_c 31.2238
_cell_angle_alpha 90.00
_cell_angle_beta 90.00
_cell_angle_gamma 120.00
_space_group_name_H-M_alt 'R -3 m'
_space_group_IT_number 166
_space_group_name_Hall '-R 3 2"'
loop_
_atom_site_label
_atom_site_fract_x
_atom_site_fract_y
_atom_site_fract_z
Zr1 0.0000 0.0000 0.2500
U1 0.0000 0.0000 0.0000
Pb1 0.0000 0.0000 0.5000


(2)
# Y2ThMoC4, relaxed, DFT GGA-PBE
# Crystal system   orthorhombic
# ΔH_f (0 K)   -0.09 eV/atom
data_Y2ThMoC4
_cell_length_a 3.534
_cell_length_b 12.173
_cell_length_c 12.267
_cell_angle_alpha 90.00
_cell_angle_beta 90.00
_cell_angle_gamma 90.00
_space_group_name_H-M_alt 'C m c m'
_space_group_IT_number 63
_space_group_name_Hall '-C 2c 2'
loop_
_atom_site_label
_atom_site_fract_x
_atom_site_fract_y
_atom_site_fract_z
Y1 0.000 0.130 0.041
Th1 0.000 0.401 0.250
Mo1 0.000 0.336 0.750
C1 0.000 0.068 0.250
C2 0.000 0.234 0.631
C3 0.000 0.500 0.000


(3)
# BaTl2Tc, relaxed, DFT GGA-PBE
# Polymorph energy (0 for the lowest one)   131 kJ/mol of formula units
# Crystal system   cubic
# ΔH_f (0 K)   0.69 eV/atom
data_BaTl2Tc
_cell_length_a 7.745
_cell_length_b 7.745
_cell_length_c 7.745
_cell_angle_alpha 90.00
_cell_angle_beta 90.00
_cell_angle_gamma 90.00
_space_group_name_H-M_alt 'F -4 3 m'
_space_group_IT_number 216
_space_group_name_Hall 'F -4 2 3'
loop_
_atom_site_label
_atom_site_fract_x
_atom_site_fract_y
_atom_site_fract_z
Ba1 0.000 0.000 0.000
Tl1 0.000 0.000 0.500
Tl2 0.250 0.250 0.250
Tc1 0.250 0.250 0.750


(4)
# Th6PdAu2, relaxed, DFT GGA-PBE
# Crystal system   monoclinic
# ΔH_f (0 K)   -0.36 eV/atom
data_Th6PdAu2
_cell_length_a 12.345
_cell_length_b 5.252
_cell_length_c 9.986
_cell_angle_alpha 90.00
_cell_angle_beta 128.10
_cell_angle_gamma 90.00
_space_group_name_H-M_alt 'C 1 2/m 1'
_space_group_IT_number 12
_space_group_name_Hall '-C 2y'
loop_
_atom_site_label
_atom_site_fract_x
_atom_site_fract_y
_atom_site_fract_z
Th1 0.014 0.000 0.327
Th2 0.144 0.500 0.997
Th3 0.188 0.500 0.670
Pd1 0.000 0.000 0.000
Au1 0.173 0.500 0.339


(5)
# Nd2Pd2Au3, relaxed, DFT GGA-PBE
# Crystal system   monoclinic
# ΔH_f (0 K)   -0.61 eV/atom
data_Nd2Pd2Au3
_cell_length_a 9.904
_cell_length_b 4.224
_cell_length_c 8.449
_cell_angle_alpha 90.00
_cell_angle_beta 115.94
_cell_angle_gamma 90.00
_space_group_name_H-M_alt 'C 1 2/m 1'
_space_group_IT_number 12
_space_group_name_Hall '-C 2y'
loop_
_atom_site_label
_atom_site_fract_x
_atom_site_fract_y
_atom_site_fract_z
Nd1 0.203 0.000 0.267
Pd1 0.159 0.000 0.893
Au1 0.000 0.500 0.000
Au2 0.034 0.500 0.358


(6)
# Rb2OsPdBr6, relaxed, DFT GGA-PBE
# Crystal system   tetragonal
# Formation energy from raw total energies   -0.65 eV per atom
data_Rb2OsPdBr6
_cell_length_a 7.472
_cell_length_b 7.472
_cell_length_c 10.740
_cell_angle_alpha 90.00
_cell_angle_beta 90.00
_cell_angle_gamma 90.00
_space_group_name_H-M_alt 'I 4/m m m'
_space_group_IT_number 139
_space_group_name_Hall '-I 4 2'
loop_
_atom_site_label
_atom_site_fract_x
_atom_site_fract_y
_atom_site_fract_z
Rb1 0.000 0.500 0.250
Os1 0.000 0.000 0.000
Pd1 0.000 0.000 0.500
Br1 0.000 0.000 0.238
Br2 0.242 0.242 0.000


(7)
# YS2IN, relaxed, DFT GGA-PBE
# Polymorph energy (0 for the lowest one)   0 kJ/mol of formula units
# Crystal system   tetragonal
# Formation energy from raw total energies   0.41 eV per atom
data_YS2IN
_cell_length_a 5.399
_cell_length_b 5.399
_cell_length_c 4.297
_cell_angle_alpha 90.00
_cell_angle_beta 90.00
_cell_angle_gamma 90.00
_space_group_name_H-M_alt 'P 4/m m m'
_space_group_IT_number 123
_space_group_name_Hall '-P 4 2'
loop_
_atom_site_label
_atom_site_fract_x
_atom_site_fract_y
_atom_site_fract_z
Y1 0.000 0.000 0.000
S1 0.000 0.500 0.000
I1 0.500 0.500 0.500
N1 0.000 0.000 0.500


(8)
# BaRhBr2, relaxed, DFT GGA-PBE
# Polymorph energy (0 for the lowest one)   54 kJ/mol of formula units
# Crystal system   orthorhombic
# Formation energy from raw total energies   -0.75 eV per atom
data_BaRhBr2
_cell_length_a 3.822
_cell_length_b 4.030
_cell_length_c 16.120
_cell_angle_alpha 90.00
_cell_angle_beta 90.00
_cell_angle_gamma 90.00
_space_group_name_H-M_alt 'I m m 2'
_space_group_IT_number 44
_space_group_name_Hall 'I 2 -2'
loop_
_atom_site_label
_atom_site_fract_x
_atom_site_fract_y
_atom_site_fract_z
Ba1 0.000 0.000 0.000
Rh1 0.000 0.500 0.346
Br1 0.000 0.000 0.605
Br2 0.000 0.500 0.835